A plane-wave DFT calculation with PBE was carried out for a relaxed structure of LaUBiO2.

Structure (CIF):
```
data_LaUBiO2
_space_group_name_H-M_alt 'I 4 m m'
_space_group_IT_number 107
_space_group_name_Hall 'I 4 -2'
_cell_length_a 4.009
_cell_length_b 4.009
_cell_length_c 13.174
_cell_angle_alpha 90.00
_cell_angle_beta 90.00
_cell_angle_gamma 90.00
loop_
_atom_site_label
_atom_site_type_symbol
_atom_site_fract_x
_atom_site_fract_y
_atom_site_fract_z
La1 La 0.000 0.000 0.000
U1 U 0.000 0.000 0.311
Bi1 Bi 0.000 0.000 0.658
O1 O 0.000 0.500 0.393
```

- final energy (eV/atom) = -8.359
- uncorrected formation energy (meV/atom) = -2356
- DOS(E_F) (states/eV per atom) = 1.540



A plane-wave DFT calculation with PBE was carried out for a relaxed structure of LaUBiO6.

Structure (CIF):
```
data_LaUBiO6
_space_group_name_H-M_alt 'P -3 1 c'
_space_group_IT_number 163
_space_group_name_Hall '-P 3 2c'
_cell_length_a 6.0632
_cell_length_b 6.0632
_cell_length_c 9.2600
_cell_angle_alpha 90.00
_cell_angle_beta 90.00
_cell_angle_gamma 120.00
loop_
_atom_site_label
_atom_site_type_symbol
_atom_site_fract_x
_atom_site_fract_y
_atom_site_fract_z
La1 La 0.3333 0.6667 0.2500
U1 U 0.3333 0.6667 0.7500
Bi1 Bi 0.0000 0.0000 0.0000
O1 O 0.0399 0.3661 0.6331
```

- final energy (eV/atom) = -8.192
- uncorrected formation energy (meV/atom) = -2653
- DOS(E_F) (states/eV per atom) = 0.000